Density functional theory data (PBE) for an optimized crystal structure of Ce3ZnPd12.

Calculated values
Crystal system   tetragonal
V   17.21 Å³ per atom
DFT total energy   -5.80 eV/atom
Energy of formation from the pure elements   -0.71 eV/atom

Cell: 4.1348 4.1348 16.1070 Å, 90.00 90.00 90.00°
Last column: nearest neighbours and their distance in Å.
Atoms (fractional coordinates):
Ce (0.0000, 0.0000, 0.0000)  12 Pd 2.92-2.93
Ce (0.0000, 0.0000, 0.2625)  12 Pd 2.85-2.98
Ce (0.0000, 0.0000, 0.7375)  12 Pd 2.85-2.98
Zn (0.0000, 0.0000, 0.5000)  12 Pd 2.78-2.92
Pd (0.0000, 0.5000, 0.1290)  8 Pd 2.91-2.93, 4 Ce 2.93-2.98
Pd (0.0000, 0.5000, 0.3842)  8 Pd 2.78-2.92, 2 Zn 2.78, 2 Ce 2.85
Pd (0.0000, 0.5000, 0.6158)  8 Pd 2.78-2.92, 2 Zn 2.78, 2 Ce 2.85
Pd (0.0000, 0.5000, 0.8710)  8 Pd 2.91-2.93, 4 Ce 2.93-2.98
Pd (0.5000, 0.0000, 0.1290)  8 Pd 2.91-2.93, 4 Ce 2.93-2.98
Pd (0.5000, 0.0000, 0.3842)  8 Pd 2.78-2.92, 2 Zn 2.78, 2 Ce 2.85
Pd (0.5000, 0.0000, 0.6158)  8 Pd 2.78-2.92, 2 Zn 2.78, 2 Ce 2.85
Pd (0.5000, 0.0000, 0.8710)  8 Pd 2.91-2.93, 4 Ce 2.93-2.98
Pd (0.5000, 0.5000, 0.0000)  4 Ce 2.92, 8 Pd 2.93
Pd (0.5000, 0.5000, 0.2565)  8 Pd 2.91-2.92, 4 Ce 2.93
Pd (0.5000, 0.5000, 0.5000)  8 Pd 2.78, 4 Zn 2.92
Pd (0.5000, 0.5000, 0.7435)  8 Pd 2.91-2.92, 4 Ce 2.93